Below is a geometry-optimized Nd3TiTl3S8 structure, with properties calculated at the PBE-GGA level.

a b c (Å): 8.067 8.067 8.871
angles (deg): 117.05 90.00 120.00
Element x y z (fractional)
S 0.211 0.422 0.689
S 0.264 0.528 0.292
S 0.789 0.578 0.311
S 0.736 0.472 0.708
S 0.767 0.978 0.689
S 0.211 0.978 0.689
S 0.789 0.022 0.311
S 0.233 0.022 0.311
Tl 0.000 0.000 0.000
Tl 0.500 0.500 0.000
Tl 0.000 0.500 0.000
Nd 0.500 0.500 0.500
Nd 0.000 0.500 0.500
Nd 0.500 0.000 0.500
Ti 0.000 0.000 0.500

Properties
Volume, Å³ per cell: 425
E_form (uncorrected), kJ per mole of atoms: -133

Below is a geometry-optimized Pm8TlSb5 structure, with properties calculated at the PBE-GGA level.

a b c (Å): 8.200 8.200 8.200
angles (deg): 109.58 109.26 109.58
Element x y z (fractional)
Sb 0.376 0.126 0.998
Sb 0.872 0.874 0.249
Sb 0.002 0.377 0.128
Sb 0.751 0.623 0.624
Sb 0.500 0.000 0.500
Tl 0.250 0.500 0.750
Pm 0.126 0.755 0.020
Pm 0.629 0.894 0.874
Pm 0.265 0.245 0.371
Pm 0.980 0.106 0.735
Pm 0.483 0.607 0.236
Pm 0.124 0.753 0.517
Pm 0.764 0.247 0.371
Pm 0.629 0.393 0.876

Properties
D(E_F), states/eV per cell: 13.738
Volume, Å³ per cell: 424
E_form (uncorrected), kJ per mole of atoms: -91

Below is a geometry-optimized NaGeBi structure, with properties calculated at the PBE-GGA level.

a b c (Å): 6.014 3.574 16.405
angles (deg): 90.00 107.20 90.00
Element x y z (fractional)
Ge 0.882 0.000 0.273
Ge 0.118 0.500 0.227
Ge 0.882 0.500 0.773
Ge 0.118 0.000 0.727
Bi 0.182 0.500 0.946
Bi 0.182 0.000 0.446
Bi 0.818 0.000 0.554
Bi 0.818 0.500 0.054
Na 0.398 0.500 0.637
Na 0.398 0.000 0.137
Na 0.602 0.500 0.363
Na 0.602 0.000 0.863

Properties
D(E_F), states/eV per cell: 3.687
Volume, Å³ per cell: 337
Offset from the most stable computed form, meV per atom: 23.2
Energy of formation from the pure elements, eV per formula unit: -0.24

Below is a geometry-optimized Th6As5Au structure, with properties calculated at the PBE-GGA level.

a b c (Å): 7.377 7.377 7.389
angles (deg): 99.59 99.59 119.81
Element x y z (fractional)
Th 0.746 0.746 0.253
Th 0.578 0.917 0.749
Th 0.422 0.083 0.251
Th 0.254 0.254 0.747
Th 0.917 0.578 0.749
Th 0.083 0.422 0.251
As 0.334 0.666 0.000
As 0.500 0.500 0.500
As 0.666 0.334 0.000
As 0.833 0.167 0.500
As 0.167 0.833 0.500
Au 0.000 0.000 0.000

Properties
D(E_F), states/eV per cell: 7.316
Volume, Å³ per cell: 329
Energy of formation from the pure elements, eV per formula unit: -14.93

Below is a geometry-optimized Cs2CoSnI structure, with properties calculated at the PBE-GGA level.

a b c (Å): 7.368 6.252 7.368
angles (deg): 90.00 90.00 90.00
Site moments in Bohr magnetons follow the coordinates.
Element x y z (fractional)
Cs 0.500 0.000 0.000  0.01
Cs 0.000 0.000 0.500  0.01
Co 0.500 0.500 0.500  2.14
I 0.000 0.000 0.000  0.03
Sn 0.000 0.500 0.000  0.58

Properties
D(E_F), states/eV per cell: 1.025
Volume, Å³ per cell: 339
E_form (uncorrected), kJ per mole of atoms: 52

Below is a geometry-optimized TmVPd6 structure, with properties calculated at the PBE-GGA level.

a b c (Å): 3.993 3.993 7.984
angles (deg): 90.00 90.00 90.00
Site moments in Bohr magnetons follow the coordinates.
Element x y z (fractional)
Pd 0.500 0.500 0.500  -0.06
Pd 0.500 0.000 0.733  -0.03
Pd 0.000 0.500 0.267  -0.03
Pd 0.500 0.500 0.000  -0.02
Pd 0.500 0.000 0.267  -0.03
Pd 0.000 0.500 0.733  -0.03
Tm 0.000 0.000 0.000  -0.03
V 0.000 0.000 0.500  0.79

Properties
D(E_F), states/eV per cell: 3.694
Volume, Å³ per cell: 127
Energy of formation from the pure elements, eV per formula unit: -4.63

Below is a geometry-optimized Cs2ReRh structure, with properties calculated at the PBE-GGA level.

a b c (Å): 5.727 5.727 5.727
angles (deg): 60.00 60.00 60.00
Site moments in Bohr magnetons follow the coordinates.
Element x y z (fractional)
Re 0.500 0.500 0.500  3.22
Cs 0.750 0.750 0.750  0.01
Cs 0.250 0.250 0.250  0.01
Rh 0.000 0.000 0.000  0.62

Properties
D(E_F), states/eV per cell: 3.949
Volume, Å³ per cell: 133
Offset from the most stable computed form, meV per atom: 877.7
Energy of formation from the pure elements, eV per formula unit: 8.55

Below is a geometry-optimized Tm2AlCu9 structure, with properties calculated at the PBE-GGA level.

a b c (Å): 5.020 5.020 8.720
angles (deg): 73.27 73.27 60.00
Element x y z (fractional)
Tm 0.864 0.864 0.407
Tm 0.136 0.136 0.593
Cu 0.080 0.583 0.754
Cu 0.417 0.920 0.246
Cu 0.500 0.500 0.500
Cu 0.920 0.417 0.246
Cu 0.417 0.417 0.246
Cu 0.583 0.080 0.754
Cu 0.333 0.333 0.001
Cu 0.667 0.667 0.999
Cu 0.583 0.583 0.754
Al 0.000 0.000 0.000

Properties
D(E_F), states/eV per cell: 4.905
Volume, Å³ per cell: 179
Energy of formation from the pure elements, eV per formula unit: -1.42